# Mn3O5F

An optimized crystal structure of Mn3O5F (PBE+U, Alexandria via LeMat-Bulk).

Lattice parameters (Å, degrees): 9.0594 6.3136 6.5354 90.00 90.00 90.00
With the nearest neighbours (Å) after each atom.
Space group Amm2 (No. 38)
Asymmetric unit:
Mn 0.0000 0.0000 0.9998 (multiplicity 2)  6 O 1.94-2.04
Mn 0.1589 0.0000 0.5000 (multiplicity 4)  5 O 1.90-1.94, 1 F 2.05
Mn 0.3316 0.0000 0.0251 (multiplicity 4)  5 O 1.89-1.96, 1 F 2.07
Mn 0.5000 0.0000 0.4923 (multiplicity 2)  4 O 1.94-1.95, 2 F 2.10
O 0.0000 0.0000 0.3113 (multiplicity 2)  3 Mn 1.90-2.04
O 0.0000 0.0000 0.6977 (multiplicity 2)  3 Mn 1.93-1.97
O 0.1656 0.1943 0.0085 (multiplicity 8)  3 Mn 1.93-1.94
O 0.3267 0.0000 0.3145 (multiplicity 4)  3 Mn 1.89-1.95
O 0.5000 0.1939 0.0139 (multiplicity 4)  3 Mn 1.94-1.96
F 0.3285 0.0000 0.7085 (multiplicity 4)  3 Mn 2.05-2.10

## Properties
E_tot (eV/atom): -6.96
Crystal system: orthorhombic